one) # BP2H, relaxed, DFT PBE
# Density of states at the Fermi level in states/eV/f.u.: 1.4
# Spin magnetization in Bohr magnetons per cell: 0.0
data_BP2H
_space_group_name_H-M_alt 'F m -3 m'
_space_group_IT_number 225
_space_group_name_Hall '-F 4 2 3'
_cell_length_a 5.253
_cell_length_b 5.253
_cell_length_c 5.253
_cell_angle_alpha 90.00
_cell_angle_beta 90.00
_cell_angle_gamma 90.00
loop_
_atom_site_label
_atom_site_type_symbol
_atom_site_fract_x
_atom_site_fract_y
_atom_site_fract_z
B1 B 0.000 0.000 0.000
P1 P 0.250 0.250 0.250
H1 H 0.000 0.000 0.500



two) # BP2H, relaxed, DFT PBE
# Density of states at the Fermi level in states/eV/f.u.: 1.2
# Spin magnetization in Bohr magnetons per cell: 0.0
data_BP2H
_space_group_name_H-M_alt 'I -4 2 d'
_space_group_IT_number 122
_space_group_name_Hall 'I -4 2bw'
_cell_length_a 4.604
_cell_length_b 4.604
_cell_length_c 8.584
_cell_angle_alpha 90.00
_cell_angle_beta 90.00
_cell_angle_gamma 90.00
loop_
_atom_site_label
_atom_site_type_symbol
_atom_site_fract_x
_atom_site_fract_y
_atom_site_fract_z
B1 B 0.000 0.000 0.000
P1 P 0.247 0.250 0.625
H1 H 0.000 0.000 0.500



Calculated relative energies: one) 601; two) 0, given in meV per atom



one) # B2PH, relaxed, DFT PBE
# Density of states at the Fermi level in states/eV/f.u.: 1.5
# Spin magnetization in Bohr magnetons per cell: 0.0
data_B2PH
_space_group_name_H-M_alt 'F m -3 m'
_space_group_IT_number 225
_space_group_name_Hall '-F 4 2 3'
_cell_length_a 4.918
_cell_length_b 4.918
_cell_length_c 4.918
_cell_angle_alpha 90.00
_cell_angle_beta 90.00
_cell_angle_gamma 90.00
loop_
_atom_site_label
_atom_site_type_symbol
_atom_site_fract_x
_atom_site_fract_y
_atom_site_fract_z
B1 B 0.250 0.250 0.250
P1 P 0.000 0.000 0.000
H1 H 0.000 0.000 0.500



two) # B2PH, relaxed, DFT PBE
# Density of states at the Fermi level in states/eV/f.u.: 0.0
# Spin magnetization in Bohr magnetons per cell: 0.0
data_B2PH
_space_group_name_H-M_alt 'I -4 2 d'
_space_group_IT_number 122
_space_group_name_Hall 'I -4 2bw'
_cell_length_a 3.342
_cell_length_b 3.342
_cell_length_c 10.841
_cell_angle_alpha 90.00
_cell_angle_beta 90.00
_cell_angle_gamma 90.00
loop_
_atom_site_label
_atom_site_type_symbol
_atom_site_fract_x
_atom_site_fract_y
_atom_site_fract_z
B1 B 0.144 0.250 0.125
P1 P 0.000 0.000 0.500
H1 H 0.000 0.000 0.000



Calculated relative energies: one) 949; two) 0, given in meV per atom



one) # BPHS2, relaxed, DFT PBE
# Density of states at the Fermi level in states/eV/f.u.: 2.7
# Spin magnetization in Bohr magnetons per cell: 0.9
data_BPHS2
_space_group_name_H-M_alt 'P 4/m m m'
_space_group_IT_number 123
_space_group_name_Hall '-P 4 2'
_cell_length_a 4.279
_cell_length_b 4.279
_cell_length_c 3.925
_cell_angle_alpha 90.00
_cell_angle_beta 90.00
_cell_angle_gamma 90.00
loop_
_atom_site_label
_atom_site_type_symbol
_atom_site_fract_x
_atom_site_fract_y
_atom_site_fract_z
B1 B 0.000 0.000 0.000
P1 P 0.000 0.000 0.500
H1 H 0.500 0.500 0.500
S1 S 0.000 0.500 0.000



two) # BPHS2, relaxed, DFT PBE
# Density of states at the Fermi level in states/eV/f.u.: 2.1
# Spin magnetization in Bohr magnetons per cell: 0.0
data_BPHS2
_space_group_name_H-M_alt 'P 4/m m m'
_space_group_IT_number 123
_space_group_name_Hall '-P 4 2'
_cell_length_a 4.471
_cell_length_b 4.471
_cell_length_c 3.100
_cell_angle_alpha 90.00
_cell_angle_beta 90.00
_cell_angle_gamma 90.00
loop_
_atom_site_label
_atom_site_type_symbol
_atom_site_fract_x
_atom_site_fract_y
_atom_site_fract_z
B1 B 0.000 0.000 0.000
P1 P 0.500 0.500 0.000
H1 H 0.500 0.500 0.500
S1 S 0.000 0.500 0.500



Calculated relative energies: one) 0; two) 169, given in meV per atom



one) # Pa2BH, relaxed, DFT PBE
# Density of states at the Fermi level in states/eV/f.u.: 4.5
# Spin magnetization in Bohr magnetons per cell: 0.0
data_Pa2BH
_space_group_name_H-M_alt 'P 4/m m m'
_space_group_IT_number 123
_space_group_name_Hall '-P 4 2'
_cell_length_a 3.149
_cell_length_b 3.149
_cell_length_c 5.937
_cell_angle_alpha 90.00
_cell_angle_beta 90.00
_cell_angle_gamma 90.00
loop_
_atom_site_label
_atom_site_type_symbol
_atom_site_fract_x
_atom_site_fract_y
_atom_site_fract_z
Pa1 Pa 0.000 0.000 0.246
B1 B 0.500 0.500 0.000
H1 H 0.500 0.500 0.500



two) # Pa2BH, relaxed, DFT PBE
# Density of states at the Fermi level in states/eV/f.u.: 3.0
# Spin magnetization in Bohr magnetons per cell: 0.0
data_Pa2BH
_space_group_name_H-M_alt 'R -3 m'
_space_group_IT_number 166
_space_group_name_Hall '-R 3 2"'
_cell_length_a 3.4939
_cell_length_b 3.4939
_cell_length_c 18.3135
_cell_angle_alpha 90.00
_cell_angle_beta 90.00
_cell_angle_gamma 120.00
loop_
_atom_site_label
_atom_site_type_symbol
_atom_site_fract_x
_atom_site_fract_y
_atom_site_fract_z
Pa1 Pa 0.0000 0.0000 0.2487
B1 B 0.0000 0.0000 0.5000
H1 H 0.0000 0.0000 0.0000



Calculated relative energies: one) 226; two) 0, given in meV per atom



one) # B3HPb, relaxed, DFT PBE
# Density of states at the Fermi level in states/eV/f.u.: 3.5
# Spin magnetization in Bohr magnetons per cell: 0.0
data_B3HPb
_space_group_name_H-M_alt 'P m -3 m'
_space_group_IT_number 221
_space_group_name_Hall '-P 4 2 3'
_cell_length_a 4.767
_cell_length_b 4.767
_cell_length_c 4.767
_cell_angle_alpha 90.00
_cell_angle_beta 90.00
_cell_angle_gamma 90.00
loop_
_atom_site_label
_atom_site_type_symbol
_atom_site_fract_x
_atom_site_fract_y
_atom_site_fract_z
B1 B 0.000 0.000 0.500
H1 H 0.500 0.500 0.500
Pb1 Pb 0.000 0.000 0.000



two) # B3HPb, relaxed, DFT PBE
# Density of states at the Fermi level in states/eV/f.u.: 1.7
# Spin magnetization in Bohr magnetons per cell: 0.0
data_B3HPb
_space_group_name_H-M_alt 'P m -3 m'
_space_group_IT_number 221
_space_group_name_Hall '-P 4 2 3'
_cell_length_a 3.832
_cell_length_b 3.832
_cell_length_c 3.832
_cell_angle_alpha 90.00
_cell_angle_beta 90.00
_cell_angle_gamma 90.00
loop_
_atom_site_label
_atom_site_type_symbol
_atom_site_fract_x
_atom_site_fract_y
_atom_site_fract_z
B1 B 0.000 0.000 0.500
H1 H 0.000 0.000 0.000
Pb1 Pb 0.500 0.500 0.500



Calculated relative energies: one) 934; two) 0, given in meV per atom



one) # BHPb2, relaxed, DFT PBE
# Density of states at the Fermi level in states/eV/f.u.: 2.6
# Spin magnetization in Bohr magnetons per cell: 0.0
data_BHPb2
_space_group_name_H-M_alt 'I -4 2 d'
_space_group_IT_number 122
_space_group_name_Hall 'I -4 2bw'
_cell_length_a 5.559
_cell_length_b 5.559
_cell_length_c 10.869
_cell_angle_alpha 90.00
_cell_angle_beta 90.00
_cell_angle_gamma 90.00
loop_
_atom_site_label
_atom_site_type_symbol
_atom_site_fract_x
_atom_site_fract_y
_atom_site_fract_z
B1 B 0.000 0.000 0.000
H1 H 0.000 0.000 0.500
Pb1 Pb 0.246 0.250 0.625



two) # BHPb2, relaxed, DFT PBE
# Density of states at the Fermi level in states/eV/f.u.: 1.3
# Spin magnetization in Bohr magnetons per cell: 0.0
data_BHPb2
_space_group_name_H-M_alt 'F m -3 m'
_space_group_IT_number 225
_space_group_name_Hall '-F 4 2 3'
_cell_length_a 6.588
_cell_length_b 6.588
_cell_length_c 6.588
_cell_angle_alpha 90.00
_cell_angle_beta 90.00
_cell_angle_gamma 90.00
loop_
_atom_site_label
_atom_site_type_symbol
_atom_site_fract_x
_atom_site_fract_y
_atom_site_fract_z
B1 B 0.000 0.000 0.000
H1 H 0.000 0.000 0.500
Pb1 Pb 0.250 0.250 0.250



Calculated relative energies: one) 0; two) 154, given in meV per atom



one) # B2H6Pd, relaxed, DFT PBE
# Spin magnetization in Bohr magnetons per cell: 0.0
data_B2H6Pd
_space_group_name_H-M_alt 'C 1 2/c 1'
_space_group_IT_number 15
_cell_length_a 13.822
_cell_length_b 6.102
_cell_length_c 3.649
_cell_angle_alpha 90.00
_cell_angle_beta 91.81
_cell_angle_gamma 90.00
loop_
_space_group_symop_operation_xyz
'x,y,z'
'-x,-y,-z'
'-x,y,-z+1/2'
'x,-y,z+1/2'
'x+1/2,y+1/2,z'
'-x+1/2,-y+1/2,-z'
'-x+1/2,y+1/2,-z+1/2'
'x+1/2,-y+1/2,z+1/2'
loop_
_atom_site_label
_atom_site_type_symbol
_atom_site_fract_x
_atom_site_fract_y
_atom_site_fract_z
B1 B 0.138 0.113 0.242
H1 H 0.089 0.021 0.508
H2 H 0.121 0.323 0.180
H3 H 0.224 0.111 0.259
Pd1 Pd 0.000 0.317 0.250



two) # B2H6Pd, relaxed, DFT PBE
# Density of states at the Fermi level in states/eV/f.u.: 2.1
# Spin magnetization in Bohr magnetons per cell: 0.0
data_B2H6Pd
_space_group_name_H-M_alt 'F m -3 m'
_space_group_IT_number 225
_space_group_name_Hall '-F 4 2 3'
_cell_length_a 6.040
_cell_length_b 6.040
_cell_length_c 6.040
_cell_angle_alpha 90.00
_cell_angle_beta 90.00
_cell_angle_gamma 90.00
loop_
_atom_site_label
_atom_site_type_symbol
_atom_site_fract_x
_atom_site_fract_y
_atom_site_fract_z
B1 B 0.250 0.250 0.250
H1 H 0.000 0.000 0.208
Pd1 Pd 0.000 0.000 0.500



Calculated relative energies: one) 0; two) 992, given in meV per atom



one) # BH2Pd8, relaxed, DFT PBE
# Density of states at the Fermi level in states/eV/f.u.: 5.8
# Spin magnetization in Bohr magnetons per cell: 0.0
data_BH2Pd8
_space_group_name_H-M_alt 'C 1 2/m 1'
_space_group_IT_number 12
_cell_length_a 9.828
_cell_length_b 5.710
_cell_length_c 4.973
_cell_angle_alpha 90.00
_cell_angle_beta 90.89
_cell_angle_gamma 90.00
loop_
_space_group_symop_operation_xyz
'x,y,z'
'-x,-y,-z'
'-x,y,-z'
'x,-y,z'
'x+1/2,y+1/2,z'
'-x+1/2,-y+1/2,-z'
'-x+1/2,y+1/2,-z'
'x+1/2,-y+1/2,z'
loop_
_atom_site_label
_atom_site_type_symbol
_atom_site_fract_x
_atom_site_fract_y
_atom_site_fract_z
B1 B 0.000 0.000 0.000
H1 H 0.211 0.000 0.694
Pd1 Pd 0.114 0.500 0.338
Pd2 Pd 0.127 0.257 0.836
Pd3 Pd 0.129 0.000 0.336



two) # BH2Pd8, relaxed, DFT PBE
# Density of states at the Fermi level in states/eV/f.u.: 10.8
# Spin magnetization in Bohr magnetons per cell: 0.0
data_BH2Pd8
_space_group_name_H-M_alt 'C 1 2/m 1'
_space_group_IT_number 12
_cell_length_a 9.984
_cell_length_b 5.773
_cell_length_c 4.866
_cell_angle_alpha 90.00
_cell_angle_beta 90.14
_cell_angle_gamma 90.00
loop_
_space_group_symop_operation_xyz
'x,y,z'
'-x,-y,-z'
'-x,y,-z'
'x,-y,z'
'x+1/2,y+1/2,z'
'-x+1/2,-y+1/2,-z'
'-x+1/2,y+1/2,-z'
'x+1/2,-y+1/2,z'
loop_
_atom_site_label
_atom_site_type_symbol
_atom_site_fract_x
_atom_site_fract_y
_atom_site_fract_z
B1 B 0.000 0.000 0.000
H1 H 0.167 0.500 0.429
Pd1 Pd 0.083 0.249 0.259
Pd2 Pd 0.166 0.000 0.742
Pd3 Pd 0.167 0.500 0.778



Calculated relative energies: one) 0; two) 16, given in meV per atom